A relaxed structure of GaTcSN2. Source: Alexandria, functional GGA-PBE.

Output
Formation energy without anion corrections   1.45 eV/atom
Energy relative to the lowest polymorph listed for this composition   5.13 eV/f.u.

Geometry as CIF:
```
data_GaTcSN2
_chemical_formula_sum 'Ga1 Tc1 S1 N2'
_cell_length_a 3.833
_cell_length_b 3.833
_cell_length_c 4.894
_cell_angle_alpha 90.00
_cell_angle_beta 90.00
_cell_angle_gamma 90.00
_space_group_name_H-M_alt 'P 1'
_space_group_IT_number 1
loop_
_space_group_symop_operation_xyz
'x,y,z'
loop_
_atom_site_label
_atom_site_type_symbol
_atom_site_fract_x
_atom_site_fract_y
_atom_site_fract_z
Ga1 Ga 0.000 0.000 0.000
Tc1 Tc 0.500 0.500 0.500
S1 S 0.000 0.000 0.500
N1 N 0.000 0.500 0.000
N2 N 0.500 0.000 0.000
```